No. 1
Material: SbW2Se
Method: DFT, meta-GGA SCAN
State: single point on PBEsol structure

For the raw formation energy, the calculation gives 102.81 kJ per mole of atoms. The calculation puts the total magnetization at 0.0 μB per formula unit. The calculation puts the energy above the most stable polymorph in this dataset at 0.799 eV/atom. The value obtained for the uncorrected energy is -3.5363 Ry per atom.

The structure in CIF format:
```
data_SbW2Se
_chemical_formula_sum 'Sb1 W2 Se1'
_cell_length_a 3.433
_cell_length_b 4.650
_cell_length_c 5.315
_cell_angle_alpha 113.75
_cell_angle_beta 106.02
_cell_angle_gamma 96.16
_symmetry_space_group_name_H-M 'P 1'
_symmetry_Int_Tables_number 1
loop_
_symmetry_equiv_pos_as_xyz
'x,y,z'
loop_
_atom_site_label
_atom_site_fract_x
_atom_site_fract_y
_atom_site_fract_z
Sb1 0.500 0.000 0.000
Se1 0.000 0.500 0.000
W1 0.000 0.000 0.500
W2 0.500 0.500 0.500
```



No. 2
Material: SbW2Se
Method: DFT, meta-GGA SCAN
State: single point on PBEsol structure

For the raw formation energy, the calculation gives 25.68 kJ per mole of atoms. The calculation puts the total magnetization at 0.0 μB per formula unit. The calculation puts the energy above the most stable polymorph in this dataset at 0.000 eV/atom. The value obtained for the uncorrected energy is -3.5950 Ry per atom.

The structure in CIF format:
```
data_SbW2Se
_chemical_formula_sum 'Sb1 W2 Se1'
_cell_length_a 3.113
_cell_length_b 3.113
_cell_length_c 9.927
_cell_angle_alpha 80.98
_cell_angle_beta 80.98
_cell_angle_gamma 60.00
_symmetry_space_group_name_H-M 'P 1'
_symmetry_Int_Tables_number 1
loop_
_symmetry_equiv_pos_as_xyz
'x,y,z'
loop_
_atom_site_label
_atom_site_fract_x
_atom_site_fract_y
_atom_site_fract_z
Sb1 0.481 0.481 0.556
Se1 0.276 0.276 0.173
W1 0.003 0.003 0.992
W2 0.740 0.740 0.779
```



No. 3
Material: SbW2Se
Method: DFT, meta-GGA SCAN
State: single point on PBEsol structure

For the raw formation energy, the calculation gives 108.41 kJ per mole of atoms. The calculation puts the total magnetization at 0.0 μB per formula unit. The calculation puts the energy above the most stable polymorph in this dataset at 0.857 eV/atom. The value obtained for the uncorrected energy is -3.5320 Ry per atom.

The structure in CIF format:
```
data_SbW2Se
_chemical_formula_sum 'Sb1 W2 Se1'
_cell_length_a 3.088
_cell_length_b 4.451
_cell_length_c 5.143
_cell_angle_alpha 90.00
_cell_angle_beta 90.00
_cell_angle_gamma 90.00
_symmetry_space_group_name_H-M 'P 1'
_symmetry_Int_Tables_number 1
loop_
_symmetry_equiv_pos_as_xyz
'x,y,z'
loop_
_atom_site_label
_atom_site_fract_x
_atom_site_fract_y
_atom_site_fract_z
Sb1 0.500 0.500 0.000
Se1 0.000 0.500 0.500
W1 0.000 0.000 0.000
W2 0.500 0.000 0.500
```



No. 4
Material: YSb4Se
Method: DFT, meta-GGA SCAN
State: single point on PBEsol structure

For the raw formation energy, the calculation gives -7.27 kJ per mole of atoms. The calculation puts the total magnetization at 0.0 μB per formula unit. The value obtained for the uncorrected energy is -2.4183 Ry per atom.

The structure in CIF format:
```
data_YSb4Se
_chemical_formula_sum 'Y1 Sb4 Se1'
_cell_length_a 6.081
_cell_length_b 6.081
_cell_length_c 6.081
_cell_angle_alpha 60.00
_cell_angle_beta 60.00
_cell_angle_gamma 60.00
_symmetry_space_group_name_H-M 'P 1'
_symmetry_Int_Tables_number 1
loop_
_symmetry_equiv_pos_as_xyz
'x,y,z'
loop_
_atom_site_label
_atom_site_fract_x
_atom_site_fract_y
_atom_site_fract_z
Sb1 0.872 0.376 0.376
Sb2 0.376 0.376 0.376
Sb3 0.376 0.376 0.872
Sb4 0.376 0.872 0.376
Se1 0.750 0.750 0.750
Y1 0.000 0.000 0.000
```



No. 5
Material: Y2SbSe
Method: DFT, meta-GGA SCAN
State: single point on PBEsol structure

For the raw formation energy, the calculation gives -158.94 kJ per mole of atoms. The calculation puts the total magnetization at 0.0 μB per formula unit. The calculation puts the energy above the most stable polymorph in this dataset at 0.005 eV/atom. The value obtained for the uncorrected energy is -2.1979 Ry per atom.

The structure in CIF format:
```
data_Y2SbSe
_chemical_formula_sum 'Y2 Sb1 Se1'
_cell_length_a 4.190
_cell_length_b 4.190
_cell_length_c 5.912
_cell_angle_alpha 90.00
_cell_angle_beta 90.00
_cell_angle_gamma 90.00
_symmetry_space_group_name_H-M 'P 1'
_symmetry_Int_Tables_number 1
loop_
_symmetry_equiv_pos_as_xyz
'x,y,z'
loop_
_atom_site_label
_atom_site_fract_x
_atom_site_fract_y
_atom_site_fract_z
Y1 0.000 0.000 0.000
Y2 0.500 0.500 0.500
Sb1 0.500 0.500 0.000
Se1 0.000 0.000 0.500
```



No. 6
Material: YSb3Se
Method: DFT, meta-GGA SCAN
State: single point on PBEsol structure

For the raw formation energy, the calculation gives 18.01 kJ per mole of atoms. The calculation puts the total magnetization at 0.0 μB per formula unit. The value obtained for the uncorrected energy is -2.3339 Ry per atom.

The structure in CIF format:
```
data_YSb3Se
_chemical_formula_sum 'Y1 Sb3 Se1'
_cell_length_a 5.273
_cell_length_b 5.273
_cell_length_c 5.273
_cell_angle_alpha 90.00
_cell_angle_beta 90.00
_cell_angle_gamma 90.00
_symmetry_space_group_name_H-M 'P 1'
_symmetry_Int_Tables_number 1
loop_
_symmetry_equiv_pos_as_xyz
'x,y,z'
loop_
_atom_site_label
_atom_site_fract_x
_atom_site_fract_y
_atom_site_fract_z
Y1 0.500 0.500 0.500
Sb1 0.000 0.500 0.000
Sb2 0.000 0.000 0.500
Sb3 0.500 0.000 0.000
Se1 0.000 0.000 0.000
```



No. 7
Material: Y2SbSe
Method: DFT, meta-GGA SCAN
State: single point on PBEsol structure

For the raw formation energy, the calculation gives -107.65 kJ per mole of atoms. The calculation puts the total magnetization at 0.8 μB per formula unit. The calculation puts the energy above the most stable polymorph in this dataset at 0.537 eV/atom. The value obtained for the uncorrected energy is -2.1588 Ry per atom.

The structure in CIF format:
```
data_Y2SbSe
_chemical_formula_sum 'Y2 Sb1 Se1'
_cell_length_a 4.207
_cell_length_b 4.207
_cell_length_c 6.358
_cell_angle_alpha 109.32
_cell_angle_beta 109.32
_cell_angle_gamma 90.00
_symmetry_space_group_name_H-M 'P 1'
_symmetry_Int_Tables_number 1
loop_
_symmetry_equiv_pos_as_xyz
'x,y,z'
loop_
_atom_site_label
_atom_site_fract_x
_atom_site_fract_y
_atom_site_fract_z
Sb1 0.500 0.500 0.000
Se1 0.250 0.750 0.500
Y1 0.000 0.000 0.000
Y2 0.750 0.250 0.500
```



No. 8
Material: YSb2Se
Method: DFT, meta-GGA SCAN
State: single point on PBEsol structure

For the raw formation energy, the calculation gives -42.58 kJ per mole of atoms. The calculation puts the total magnetization at 0.0 μB per formula unit. The value obtained for the uncorrected energy is -2.2823 Ry per atom.

The structure in CIF format:
```
data_YSb2Se
_chemical_formula_sum 'Y1 Sb2 Se1'
_cell_length_a 3.694
_cell_length_b 5.225
_cell_length_c 5.225
_cell_angle_alpha 105.14
_cell_angle_beta 90.00
_cell_angle_gamma 90.00
_symmetry_space_group_name_H-M 'P 1'
_symmetry_Int_Tables_number 1
loop_
_symmetry_equiv_pos_as_xyz
'x,y,z'
loop_
_atom_site_label
_atom_site_fract_x
_atom_site_fract_y
_atom_site_fract_z
Sb1 0.000 0.500 0.000
Sb2 0.000 0.000 0.500
Se1 0.500 0.000 0.000
Y1 0.500 0.500 0.500
```